MnFeMo2 after structural relaxation. Source: Alexandria, functional PBE.

```
data_MnFeMo2
_space_group_name_H-M_alt 'P 1'
_space_group_IT_number 1
_cell_length_a 4.8561
_cell_length_b 4.8561
_cell_length_c 4.5324
_cell_angle_alpha 73.99
_cell_angle_beta 73.99
_cell_angle_gamma 31.37
loop_
_space_group_symop_operation_xyz
'x,y,z'
loop_
_atom_site_label
_atom_site_type_symbol
_atom_site_fract_x
_atom_site_fract_y
_atom_site_fract_z
Mo1 Mo 0.9813 0.9813 0.0524
Mo2 Mo 0.7717 0.7717 0.6940
Mn1 Mn 0.2193 0.2193 0.2250
Fe1 Fe 0.5277 0.5277 0.5287
```

Results
As for the density of states at the Fermi level: 4.486 states/eV/f.u. The calculation puts the offset from the most stable computed form at 87 meV per atom. Its theoretical density is 9.43 g/cm3.